# Na2Mn2Te2O

A relaxed Na2Mn2Te2O crystal (PBE with a Hubbard U, the Alexandria database).

Cell: 8.5126 8.5126 8.5126 Å, 149.69 149.69 43.40°
With the nearest neighbours (Å) after each atom.
Atoms (fractional coordinates):
Na: 0.1636 0.1636 0.0000  1 O 2.59
Na: 0.8364 0.8364 0.0000  1 O 2.59
Mn: 0.0000 0.5000 0.5000  2 O 2.23
Mn: 0.5000 0.0000 0.5000  2 O 2.23
Te: 0.3693 0.3693 0.0000  4 Mn 3.04, 5 Na 3.19-3.25
Te: 0.6307 0.6307 0.0000  4 Mn 3.04, 5 Na 3.19-3.25
O: 0.0000 0.0000 0.0000  4 Mn 2.23

Calculated values
Its density of states at the Fermi level is 0.00 states/eV/f.u. As for the total energy: -35.47 eV/cell. The space-group type is No. 139.